The following is a PBE calculation of an optimized crystal structure of ZrMnAs2, from the Alexandria database. Values from VASP.

Calculated density ... 5.56 g cm⁻³
DFT formation energy ... 0.04 eV per atom
N(E_F) ... 4.317 states/eV/f.u.

```
&SYSTEM
  ibrav = 0, nat = 8, ntyp = 3
/
ATOMIC_SPECIES
Zr 91.22 Zr.upf
Mn 54.94 Mn.upf
As 74.92 As.upf
CELL_PARAMETERS angstrom
-3.8341 2.6043 2.4014
-3.3896 -3.7253 -1.3717
-2.3317 -3.7526 6.0206
ATOMIC_POSITIONS crystal
Zr 0.7500 0.2500 0.5000
Zr 0.0000 0.0000 0.0000
Mn 0.2500 0.7500 0.5000
Mn 0.5000 0.5000 0.0000
As 0.5572 0.1250 0.2500
As 0.8750 0.8072 0.7500
As 0.1928 0.6250 0.2500
As 0.3750 0.4428 0.7500
```